# PaSbNO

A geometry-optimized PaSbNO structure (PBE-GGA, the Open Quantum Materials Database).

Cell lengths 3.7106, 6.7252, 7.2133 Å; angles 90.00, 90.00, 90.00 degrees
With the nearest neighbours (Å) after each atom.
Sites, in units of the cell vectors:
N  0.0000  0.8196  0.3858  2 Pa 2.25-2.27, 2 Sb 2.28
N  0.0000  0.3196  0.6142  2 Pa 2.25-2.27, 2 Sb 2.28
O  0.5000  0.4622  0.1944  2 Pa 2.14
O  0.5000  0.9622  0.8056  2 Pa 2.14
Pa  0.0000  0.4879  0.3417  2 O 2.14, 2 N 2.25-2.27
Pa  0.0000  0.9879  0.6583  2 O 2.14, 2 N 2.25-2.27
Sb  0.5000  0.9842  0.2835  2 N 2.28
Sb  0.5000  0.4842  0.7165  2 N 2.28

Values from the calculation:
Magnetic moment = 0.3 μB/cell
E = -59.7 eV/cell
SG = Pmc2_1
Energy relative to the lowest polymorph listed for this composition = 82 meV/atom
Calculated density = 7.06 Mg/m³